1.
## CaSc2Se (GGA-PBE)

Data for a relaxed CaSc2Se crystal.

```
CaSc2Se
1.0
6.333 0.003 -0.001
3.262 5.429 0.001
-4.212 -3.751 2.882
Sc Ca Se
2 1 1
Direct
0.951 0.951 0.000 Sc
0.549 0.549 0.000 Sc
0.250 0.750 0.500 Ca
0.750 0.250 0.500 Se
```

Computed properties:
ΔE_f (raw) ... -0.633 eV per atom
SG ... Immm, No. 71
Mass density ... 3.5 g cm⁻³


2.
## YbDyPt2 (GGA-PBE)

Data for a relaxed YbDyPt2 crystal.

```
YbDyPt2
1.0
-3.050 3.853 -0.214
-1.587 1.642 -4.357
-4.696 -0.650 -1.311
Yb Pt Dy
1 2 1
Direct
0.000 0.000 0.000 Yb
0.250 0.250 0.250 Pt
0.750 0.750 0.750 Pt
0.500 0.500 0.500 Dy
```

Computed properties:
Energy relative to the elements ... -4.608 eV per formula unit
SG ... Fm-3m, No. 225
Mass density ... 14.3 g cm⁻³


3.
## LiPmNdOs (GGA-PBE)

Data for a relaxed LiPmNdOs crystal.

```
LiPmNdOs
1.0
-3.500 -2.906 2.172
0.816 -1.927 4.587
-2.605 1.723 3.958
Nd Li Os Pm
1 1 1 1
Direct
0.250 0.250 0.250 Nd
0.000 0.000 0.000 Li
0.500 0.500 0.500 Os
0.750 0.750 0.750 Pm
```

Computed properties:
Energy relative to the elements ... -0.371 eV per formula unit
SG ... F-43m, No. 216
Mass density ... 8.9 g cm⁻³


4.
## TmIn2 (GGA-PBE)

Data for a relaxed TmIn2 crystal.

```
TmIn2
1.0
-5.625 1.854 0.676
-4.400 -3.979 0.584
-2.745 -0.660 5.250
Tm In
2 4
Direct
0.000 0.000 0.000 Tm
0.250 0.250 0.250 Tm
0.125 0.625 0.625 In
0.625 0.125 0.625 In
0.625 0.625 0.625 In
0.625 0.625 0.125 In
```

Computed properties:
Energy relative to the elements ... -0.761 eV per formula unit
SG ... Fd-3m, No. 227
Mass density ... 8.8 g cm⁻³